Record 1
Computed, not measured: a geometry-optimized LiGeAs3 structure at the PBE level of DFT.

Lattice parameters (Å, degrees): 4.6177 4.6177 4.6177 90.00 90.00 90.00
Last column: nearest neighbours and their distance in Å.
Element x y z (fractional)
Li  0.0000  0.0000  0.0000  6 As 2.31
Ge  0.5000  0.5000  0.5000  12 As 3.27
As  0.0000  0.0000  0.5000  2 Li 2.31
As  0.0000  0.5000  0.0000  2 Li 2.31
As  0.5000  0.0000  0.0000  2 Li 2.31

Output
Energy above the lowest structure with this stoichiometry: 14 meV per atom
DOS(E_F): 3.2 states/eV/cell
Magnetization: 0.00 μB/cell

---

Record 2
Computed, not measured: a geometry-optimized Pr3ThTl4Se8 structure at the PBE level of DFT.

Lattice parameters (Å, degrees): 9.2738 9.2738 9.2738 55.45 55.45 55.45
Last column: nearest neighbours and their distance in Å.
Element x y z (fractional)
Pr  0.0000  0.5000  0.5000  6 Se 3.01-3.03
Pr  0.5000  0.0000  0.5000  6 Se 3.01-3.03
Pr  0.5000  0.5000  0.0000  6 Se 3.01-3.03
Th  0.0000  0.0000  0.0000  6 Se 2.95
Tl  0.0000  0.0000  0.5000  6 Se 3.33-3.34
Tl  0.0000  0.5000  0.0000  6 Se 3.33-3.34
Tl  0.5000  0.0000  0.0000  6 Se 3.33-3.34
Tl  0.5000  0.5000  0.5000  6 Se 3.40
Se  0.2336  0.2336  0.7463  1 Th 2.95, 2 Pr 3.03
Se  0.2336  0.7463  0.2336  1 Th 2.95, 2 Pr 3.03
Se  0.2537  0.7664  0.7664  1 Th 2.95, 2 Pr 3.03
Se  0.2613  0.2613  0.2613  3 Pr 3.01, 3 Tl 3.34
Se  0.7387  0.7387  0.7387  3 Pr 3.01, 3 Tl 3.34
Se  0.7463  0.2336  0.2336  1 Th 2.95, 2 Pr 3.03
Se  0.7664  0.2537  0.7664  1 Th 2.95, 2 Pr 3.03
Se  0.7664  0.7664  0.2537  1 Th 2.95, 2 Pr 3.03

Output
Uncorrected energy: -80.2 eV for the cell shown
DOS(E_F): 6.0 states/eV/cell
Magnetization: 0.00 μB/cell

---

Record 3
Computed, not measured: a geometry-optimized K2Cd16In structure at the PBE level of DFT.

Lattice parameters (Å, degrees): 7.8843 7.8843 7.8843 83.18 83.18 83.18
Last column: nearest neighbours and their distance in Å.
Element x y z (fractional)
K  0.0000  0.0000  0.0000  1 In 3.63, 18 Cd 3.67-4.04
K  0.3205  0.3205  0.3205  19 Cd 3.64-3.99
Cd  0.0144  0.0144  0.5023  8 Cd 2.99-3.22, 1 In 3.34
Cd  0.0144  0.5023  0.0144  8 Cd 2.99-3.22, 1 In 3.34
Cd  0.1652  0.6575  0.6575  9 Cd 2.99-3.14, 1 In 3.23
Cd  0.3061  0.3061  0.8184  9 Cd 2.99-3.34
Cd  0.3061  0.8184  0.3061  9 Cd 2.99-3.34
Cd  0.3602  0.6605  0.9599  8 Cd 2.99-3.22
Cd  0.3602  0.9599  0.6605  8 Cd 2.99-3.22
Cd  0.5023  0.0144  0.0144  8 Cd 2.99-3.22, 1 In 3.34
Cd  0.5600  0.5600  0.5600  1 In 3.05, 6 Cd 3.14-3.34
Cd  0.6575  0.1653  0.6575  9 Cd 2.99-3.14, 1 In 3.23
Cd  0.6575  0.6575  0.1652  9 Cd 2.99-3.14, 1 In 3.23
Cd  0.6605  0.3602  0.9599  8 Cd 2.99-3.22
Cd  0.6605  0.9599  0.3602  8 Cd 2.99-3.22
Cd  0.8184  0.3061  0.3061  9 Cd 2.99-3.34
Cd  0.9599  0.3602  0.6605  8 Cd 2.99-3.22
Cd  0.9599  0.6605  0.3602  8 Cd 2.99-3.22
In  0.7609  0.7609  0.7609  7 Cd 3.05-3.34

Output
Uncorrected energy: -20.7 eV for the cell shown
DOS(E_F): 5.8 states/eV/cell
Magnetization: 0.00 μB/cell

---

Record 4
Computed, not measured: a geometry-optimized Rb2CoPtS4 structure at the PBE level of DFT.

Lattice parameters (Å, degrees): 13.1767 11.6371 7.3333 84.76 61.58 33.66
Last column: nearest neighbours and their distance in Å.
Element x y z (fractional)
Rb  0.0556  0.0556  0.6944  8 S 3.43-3.65
Rb  0.3056  0.3056  0.9444  8 S 3.43-3.65
Rb  0.6944  0.6944  0.0556  8 S 3.43-3.65
Rb  0.9444  0.9444  0.3056  8 S 3.43-3.65
Co  0.3750  0.3750  0.3750  4 S 2.16
Co  0.6250  0.6250  0.6250  4 S 2.16
Pt  0.1250  0.1250  0.1250  4 S 2.33
Pt  0.8750  0.8750  0.8750  4 S 2.33
S  0.0036  0.6361  0.5639  1 Co 2.16, 1 Pt 2.33
S  0.2963  0.5639  0.6361  1 Co 2.16, 1 Pt 2.33
S  0.3639  0.9964  0.7037  1 Co 2.16, 1 Pt 2.33
S  0.4361  0.7037  0.9964  1 Co 2.16, 1 Pt 2.33
S  0.5639  0.2963  0.0036  1 Co 2.16, 1 Pt 2.33
S  0.6361  0.0036  0.2963  1 Co 2.16, 1 Pt 2.33
S  0.7037  0.4361  0.3639  1 Co 2.16, 1 Pt 2.33
S  0.9964  0.3639  0.4361  1 Co 2.16, 1 Pt 2.33

Output
Uncorrected energy: -72.4 eV for the cell shown
DOS(E_F): 10.1 states/eV/cell
Magnetization: 0.00 μB/cell

---

Record 5
Computed, not measured: a geometry-optimized Sr2BeTePd structure at the PBE level of DFT.

Lattice parameters (Å, degrees): 5.8641 5.8641 4.3498 90.00 90.00 90.00
Last column: nearest neighbours and their distance in Å.
Element x y z (fractional)
Sr  0.0000  0.5000  0.0000  2 Pd 2.93
Sr  0.5000  0.0000  0.0000  2 Pd 2.93
Be  0.0000  0.0000  0.5000  2 Pd 2.17
Te  0.5000  0.5000  0.5000  8 Sr 3.65
Pd  0.0000  0.0000  0.0000  2 Be 2.17

Output
Uncorrected energy: -18.4 eV for the cell shown
DOS(E_F): 1.9 states/eV/cell
Magnetization: 0.00 μB/cell

---

Record 6
Computed, not measured: a geometry-optimized Ac3Mg3Ni2 structure at the PBE level of DFT.

Lattice parameters (Å, degrees): 9.5277 9.5277 5.6286 99.71 99.71 26.34
Last column: nearest neighbours and their distance in Å.
Element x y z (fractional)
Ac  0.0000  0.0000  0.0000  8 Mg 3.48-3.55
Ac  0.1665  0.1665  0.5987  4 Ni 2.96-3.14
Ac  0.8335  0.8335  0.4013  4 Ni 2.96-3.14
Mg  0.3511  0.3511  0.9198  3 Ni 2.64-2.66
Mg  0.5000  0.5000  0.5000  8 Ac 3.55-3.74, 4 Mg 3.89-3.93
Mg  0.6489  0.6489  0.0802  3 Ni 2.64-2.66
Ni  0.2309  0.2309  0.1174  3 Mg 2.64-2.66, 2 Ni 2.70
Ni  0.7691  0.7691  0.8826  3 Mg 2.64-2.66, 2 Ni 2.70

Output
Uncorrected energy: -30.0 eV for the cell shown
DOS(E_F): 6.5 states/eV/cell
Magnetization: 0.00 μB/cell

---

Record 7
Computed, not measured: a geometry-optimized KTiSb2 structure at the PBE level of DFT.

Lattice parameters (Å, degrees): 8.3639 8.3639 8.3639 29.04 29.04 29.04
Last column: nearest neighbours and their distance in Å.
Element x y z (fractional)
K  0.0000  0.0000  0.0000  6 Sb 3.54
Ti  0.5000  0.5000  0.5000  6 Sb 2.81
Sb  0.2258  0.2258  0.2258  3 Ti 2.81
Sb  0.7742  0.7742  0.7742  3 Ti 2.81

Output
Energy above the lowest structure with this stoichiometry: 10 meV per atom
DOS(E_F): 2.0 states/eV/cell
Magnetization: 0.00 μB/cell

---

Record 8
Computed, not measured: a geometry-optimized SiSn2AsPd structure at the PBE level of DFT.

Lattice parameters (Å, degrees): 5.1950 5.1950 4.6255 90.00 90.00 90.00
Last column: nearest neighbours and their distance in Å.
Element x y z (fractional)
Si  0.0000  0.0000  0.0000  2 As 2.31
Sn  0.0000  0.5000  0.0000  2 Si 2.60
Sn  0.5000  0.0000  0.0000  2 Si 2.60
As  0.0000  0.0000  0.5000  2 Si 2.31
Pd  0.5000  0.5000  0.5000  8 Sn 3.48, 4 As 3.67

Output
Uncorrected energy: -20.1 eV for the cell shown
DOS(E_F): 2.6 states/eV/cell
Magnetization: 0.00 μB/cell

---

Record 9
Computed, not measured: a geometry-optimized Ce2HgRh4 structure at the PBE level of DFT.

Lattice parameters (Å, degrees): 9.6374 9.6374 9.6374 156.03 156.03 34.16
Last column: nearest neighbours and their distance in Å.
Element x y z (fractional)
Ce  0.1323  0.1323  0.0000  8 Rh 2.84-2.95
Ce  0.8677  0.8677  0.0000  8 Rh 2.84-2.95
Hg  0.5000  0.5000  0.0000  2 Rh 2.69
Rh  0.2500  0.7500  0.5000  8 Rh 2.77-2.83, 4 Ce 2.95
Rh  0.3541  0.3541  0.0000  1 Hg 2.69, 4 Rh 2.77, 4 Ce 2.84
Rh  0.6459  0.6459  0.0000  1 Hg 2.69, 4 Rh 2.77, 4 Ce 2.84
Rh  0.7500  0.2500  0.5000  8 Rh 2.77-2.83, 4 Ce 2.95

Output
Uncorrected energy: -45.5 eV for the cell shown
DOS(E_F): 7.0 states/eV/cell
Magnetization: 0.00 μB/cell

---

Record 10
Computed, not measured: a geometry-optimized Y2Mg structure at the PBE level of DFT.

Lattice parameters (Å, degrees): 5.5750 9.4532 9.4532 21.05 90.00 90.00
Last column: nearest neighbours and their distance in Å.
Element x y z (fractional)
Y  0.0000  0.0000  0.0000  4 Mg 3.45, 8 Y 3.45-3.64
Y  0.0000  0.3277  0.3277  2 Mg 3.38, 10 Y 3.45-3.64
Y  0.0000  0.6659  0.6659  6 Mg 3.44-3.46, 6 Y 3.45-3.53
Y  0.5000  0.8858  0.8858  4 Mg 3.45-3.63, 8 Y 3.45-3.50
Mg  0.5000  0.2251  0.2251  8 Y 3.38-3.46, 4 Mg 3.45-3.56
Mg  0.5000  0.5576  0.5576  8 Y 3.44-3.63, 4 Mg 3.45-3.56

Output
Uncorrected energy: -28.8 eV for the cell shown
DOS(E_F): 9.1 states/eV/cell
Magnetization: 0.00 μB/cell